Density functional theory data (PBE) for a relaxed La4GaRh crystal.

a b c (Å): 8.408 8.408 6.280
angles (deg): 104.76 104.76 115.19
Element x y z (fractional)
La  0.068  0.690  0.918
La  0.215  0.353  0.677
La  0.310  0.932  0.582
La  0.353  0.215  0.177
La  0.647  0.785  0.823
La  0.690  0.068  0.418
La  0.785  0.647  0.323
La  0.932  0.310  0.082
Ga  0.378  0.622  0.250
Ga  0.622  0.378  0.750
Rh  0.003  0.997  0.750
Rh  0.997  0.003  0.250

Values from the calculation:
The energy relative to the elements comes out at -273 kJ/mol of formula units. The electronic total energy comes out at -5.49 eV per atom. The value obtained for the density of states at the Fermi level is 12.5 states/eV/cell. For the energy above the lowest structure with this stoichiometry, the calculation gives 0 meV/atom.

Density functional theory data (PBE) for a relaxed La2Ga2Rh crystal.

a b c (Å): 3.681 3.681 18.187
angles (deg): 90.00 90.00 90.00
Element x y z (fractional)
La  0.000  0.000  0.093
La  0.000  0.000  0.907
La  0.500  0.500  0.407
La  0.500  0.500  0.593
Ga  0.000  0.500  0.250
Ga  0.000  0.500  0.750
Ga  0.500  0.000  0.250
Ga  0.500  0.000  0.750
Rh  0.000  0.000  0.500
Rh  0.500  0.500  0.000

Values from the calculation:
The energy relative to the elements comes out at -194 kJ/mol of formula units. The electronic total energy comes out at -5.05 eV per atom. The value obtained for the density of states at the Fermi level is 8.1 states/eV/cell. For the energy above the lowest structure with this stoichiometry, the calculation gives 314 meV/atom.

Density functional theory data (PBE) for a relaxed La2Ga2Rh crystal.

a b c (Å): 5.898 5.898 10.688
angles (deg): 115.26 115.26 46.00
Element x y z (fractional)
La  0.082  0.082  0.388
La  0.326  0.326  0.823
La  0.674  0.674  0.177
La  0.918  0.918  0.612
Ga  0.089  0.089  0.938
Ga  0.378  0.378  0.380
Ga  0.622  0.622  0.620
Ga  0.911  0.911  0.062
Rh  0.348  0.348  0.119
Rh  0.652  0.652  0.881

Values from the calculation:
The energy relative to the elements comes out at -340 kJ/mol of formula units. The electronic total energy comes out at -5.36 eV per atom. The value obtained for the density of states at the Fermi level is 8.2 states/eV/cell. For the energy above the lowest structure with this stoichiometry, the calculation gives 12 meV/atom.

Density functional theory data (PBE) for a relaxed La3Ga3Rh2 crystal.

a b c (Å): 8.175 15.605 5.762
angles (deg): 90.00 90.00 90.00
Element x y z (fractional)
La  0.030  0.107  0.101
La  0.030  0.393  0.101
La  0.163  0.250  0.604
La  0.337  0.750  0.104
La  0.470  0.607  0.601
La  0.470  0.893  0.601
La  0.530  0.107  0.399
La  0.530  0.393  0.399
La  0.663  0.250  0.896
La  0.837  0.750  0.396
La  0.970  0.607  0.899
La  0.970  0.893  0.899
Ga  0.164  0.037  0.589
Ga  0.164  0.463  0.589
Ga  0.181  0.750  0.597
Ga  0.319  0.250  0.097
Ga  0.336  0.537  0.089
Ga  0.336  0.963  0.089
Ga  0.664  0.037  0.911
Ga  0.664  0.463  0.911
Ga  0.681  0.750  0.903
Ga  0.819  0.250  0.403
Ga  0.836  0.537  0.411
Ga  0.836  0.963  0.411
Rh  0.125  0.606  0.362
Rh  0.125  0.894  0.362
Rh  0.375  0.106  0.862
Rh  0.375  0.394  0.862
Rh  0.625  0.606  0.138
Rh  0.625  0.894  0.138
Rh  0.875  0.106  0.638
Rh  0.875  0.394  0.638

Values from the calculation:
The energy relative to the elements comes out at -577 kJ/mol of formula units. The electronic total energy comes out at -5.57 eV per atom. The value obtained for the density of states at the Fermi level is 21.1 states/eV/cell.

Density functional theory data (PBE) for a relaxed La4GaRh2 crystal.

a b c (Å): 5.902 5.902 13.355
angles (deg): 90.00 90.00 90.00
Element x y z (fractional)
La  0.000  0.000  0.223
La  0.000  0.000  0.777
La  0.000  0.500  0.000
La  0.000  0.500  0.500
La  0.500  0.000  0.000
La  0.500  0.000  0.500
La  0.500  0.500  0.277
La  0.500  0.500  0.723
Ga  0.000  0.000  0.000
Ga  0.500  0.500  0.500
Rh  0.000  0.000  0.401
Rh  0.000  0.000  0.599
Rh  0.500  0.500  0.099
Rh  0.500  0.500  0.901

Values from the calculation:
The energy relative to the elements comes out at -117 kJ/mol of formula units. The electronic total energy comes out at -5.52 eV per atom. The value obtained for the density of states at the Fermi level is 24.6 states/eV/cell. For the energy above the lowest structure with this stoichiometry, the calculation gives 453 meV/atom.

Density functional theory data (PBE) for a relaxed LaGa12Rh6 crystal.

a b c (Å): 7.188 7.188 7.188
angles (deg): 104.92 104.92 104.92
Element x y z (fractional)
La  0.000  0.000  0.000
Ga  0.115  0.500  0.885
Ga  0.115  0.885  0.500
Ga  0.134  0.409  0.409
Ga  0.409  0.134  0.409
Ga  0.409  0.409  0.134
Ga  0.500  0.115  0.885
Ga  0.500  0.885  0.115
Ga  0.591  0.591  0.866
Ga  0.591  0.866  0.591
Ga  0.866  0.591  0.591
Ga  0.885  0.115  0.500
Ga  0.885  0.500  0.115
Rh  0.274  0.274  0.694
Rh  0.274  0.694  0.274
Rh  0.306  0.726  0.726
Rh  0.694  0.274  0.274
Rh  0.726  0.306  0.726
Rh  0.726  0.726  0.306

Values from the calculation:
The energy relative to the elements comes out at -1046 kJ/mol of formula units. The electronic total energy comes out at -5.06 eV per atom. The value obtained for the density of states at the Fermi level is 6.1 states/eV/cell.

Density functional theory data (PBE) for a relaxed La3Ga9Rh2 crystal.

a b c (Å): 8.361 8.361 8.361
angles (deg): 149.56 109.31 78.88
Element x y z (fractional)
La  0.000  0.000  0.000
La  0.303  0.303  0.000
La  0.697  0.697  0.000
Ga  0.017  0.656  0.361
Ga  0.149  0.869  0.280
Ga  0.296  0.656  0.639
Ga  0.412  0.131  0.280
Ga  0.500  0.000  0.500
Ga  0.588  0.869  0.720
Ga  0.704  0.344  0.361
Ga  0.851  0.131  0.720
Ga  0.983  0.344  0.639
Rh  0.314  0.500  0.814
Rh  0.686  0.500  0.186

Values from the calculation:
The energy relative to the elements comes out at -912 kJ/mol of formula units. The electronic total energy comes out at -4.73 eV per atom. The value obtained for the density of states at the Fermi level is 6.0 states/eV/cell.

Density functional theory data (PBE) for a relaxed La2Ga2Rh crystal.

a b c (Å): 7.946 7.946 4.306
angles (deg): 90.00 90.00 90.00
Element x y z (fractional)
La  0.190  0.310  0.000
La  0.310  0.810  0.000
La  0.690  0.190  0.000
La  0.810  0.690  0.000
Ga  0.111  0.611  0.500
Ga  0.389  0.111  0.500
Ga  0.611  0.889  0.500
Ga  0.889  0.389  0.500
Rh  0.000  0.000  0.000
Rh  0.500  0.500  0.000

Values from the calculation:
The energy relative to the elements comes out at -78 kJ/mol of formula units. The electronic total energy comes out at -4.81 eV per atom. The value obtained for the density of states at the Fermi level is 12.6 states/eV/cell. For the energy above the lowest structure with this stoichiometry, the calculation gives 554 meV/atom.

Density functional theory data (PBE) for a relaxed LaGa4Rh3 crystal.

a b c (Å): 4.188 4.188 8.449
angles (deg): 90.00 90.00 90.00
Element x y z (fractional)
La  0.000  0.000  0.000
Ga  0.000  0.500  0.327
Ga  0.000  0.500  0.673
Ga  0.500  0.000  0.327
Ga  0.500  0.000  0.673
Rh  0.000  0.000  0.500
Rh  0.500  0.500  0.157
Rh  0.500  0.500  0.843

Values from the calculation:
The energy relative to the elements comes out at -484 kJ/mol of formula units. The electronic total energy comes out at -5.51 eV per atom. The value obtained for the density of states at the Fermi level is 4.1 states/eV/cell.

Density functional theory data (PBE) for a relaxed La5Ga5Rh2 crystal.

a b c (Å): 8.051 8.051 11.005
angles (deg): 128.98 128.98 33.67
Element x y z (fractional)
La  0.000  0.000  0.000
La  0.126  0.126  0.435
La  0.186  0.186  0.833
La  0.814  0.814  0.167
La  0.874  0.874  0.565
Ga  0.260  0.260  0.293
Ga  0.460  0.460  0.173
Ga  0.500  0.500  0.500
Ga  0.540  0.540  0.827
Ga  0.740  0.740  0.707
Rh  0.335  0.335  0.734
Rh  0.665  0.665  0.266

Values from the calculation:
The energy relative to the elements comes out at -751 kJ/mol of formula units. The electronic total energy comes out at -5.19 eV per atom. The value obtained for the density of states at the Fermi level is 9.7 states/eV/cell.

Density functional theory data (PBE) for a relaxed La4Ga12Rh crystal.

a b c (Å): 7.720 7.720 7.720
angles (deg): 109.47 109.47 109.47
Element x y z (fractional)
La  0.000  0.000  0.500
La  0.000  0.500  0.000
La  0.500  0.000  0.000
La  0.500  0.500  0.500
Ga  0.000  0.292  0.292
Ga  0.000  0.708  0.708
Ga  0.250  0.500  0.750
Ga  0.250  0.750  0.500
Ga  0.292  0.000  0.292
Ga  0.292  0.292  0.000
Ga  0.500  0.250  0.750
Ga  0.500  0.750  0.250
Ga  0.708  0.000  0.708
Ga  0.708  0.708  0.000
Ga  0.750  0.250  0.500
Ga  0.750  0.500  0.250
Rh  0.000  0.000  0.000

Values from the calculation:
The energy relative to the elements comes out at -1014 kJ/mol of formula units. The electronic total energy comes out at -4.35 eV per atom. The value obtained for the density of states at the Fermi level is 10.9 states/eV/cell.

Density functional theory data (PBE) for a relaxed LaGaRh4 crystal.

a b c (Å): 5.316 5.316 5.316
angles (deg): 60.00 60.00 60.00
Element x y z (fractional)
La  0.000  0.000  0.000
Ga  0.750  0.750  0.750
Rh  0.376  0.376  0.376
Rh  0.376  0.376  0.872
Rh  0.376  0.872  0.376
Rh  0.872  0.376  0.376

Values from the calculation:
The energy relative to the elements comes out at -225 kJ/mol of formula units. The electronic total energy comes out at -6.61 eV per atom. The value obtained for the density of states at the Fermi level is 8.8 states/eV/cell. For the energy above the lowest structure with this stoichiometry, the calculation gives 72 meV/atom.

Density functional theory data (PBE) for a relaxed La5GaRh2 crystal.

a b c (Å): 8.920 8.920 8.920
angles (deg): 126.42 126.42 79.19
Element x y z (fractional)
La  0.000  0.000  0.000
La  0.024  0.524  0.827
La  0.197  0.024  0.500
La  0.303  0.803  0.827
La  0.476  0.303  0.500
La  0.500  0.500  0.000
La  0.524  0.697  0.500
La  0.697  0.197  0.173
La  0.803  0.976  0.500
La  0.976  0.476  0.173
Ga  0.250  0.250  0.000
Ga  0.750  0.750  0.000
Rh  0.136  0.364  0.500
Rh  0.364  0.864  0.228
Rh  0.636  0.136  0.772
Rh  0.864  0.636  0.500

Values from the calculation:
The energy relative to the elements comes out at -445 kJ/mol of formula units. The electronic total energy comes out at -5.87 eV per atom. The value obtained for the density of states at the Fermi level is 20.8 states/eV/cell.

Density functional theory data (PBE) for a relaxed La3Ga8Rh3 crystal.

a b c (Å): 8.327 8.327 8.327
angles (deg): 149.72 105.81 82.18
Element x y z (fractional)
La  0.000  0.000  0.000
La  0.329  0.329  0.000
La  0.671  0.671  0.000
Ga  0.037  0.671  0.366
Ga  0.160  0.879  0.281
Ga  0.306  0.671  0.634
Ga  0.402  0.121  0.281
Ga  0.598  0.879  0.719
Ga  0.694  0.329  0.366
Ga  0.840  0.121  0.719
Ga  0.963  0.329  0.634
Rh  0.277  0.500  0.777
Rh  0.500  0.000  0.500
Rh  0.723  0.500  0.223

Values from the calculation:
The energy relative to the elements comes out at -970 kJ/mol of formula units. The electronic total energy comes out at -5.08 eV per atom. The value obtained for the density of states at the Fermi level is 8.9 states/eV/cell.

Density functional theory data (PBE) for a relaxed La3GaRh2 crystal.

a b c (Å): 12.554 3.991 12.409
angles (deg): 90.00 90.00 90.00
Element x y z (fractional)
La  0.069  0.250  0.126
La  0.124  0.750  0.574
La  0.194  0.250  0.827
La  0.306  0.750  0.327
La  0.376  0.250  0.074
La  0.431  0.750  0.626
La  0.569  0.250  0.374
La  0.624  0.750  0.926
La  0.694  0.250  0.673
La  0.806  0.750  0.173
La  0.876  0.250  0.426
La  0.931  0.750  0.874
Ga  0.122  0.250  0.373
Ga  0.378  0.750  0.873
Ga  0.622  0.250  0.127
Ga  0.878  0.750  0.627
Rh  0.013  0.750  0.300
Rh  0.195  0.750  0.990
Rh  0.305  0.250  0.490
Rh  0.487  0.250  0.800
Rh  0.513  0.750  0.200
Rh  0.695  0.750  0.510
Rh  0.805  0.250  0.010
Rh  0.987  0.250  0.700

Values from the calculation:
The energy relative to the elements comes out at -397 kJ/mol of formula units. The electronic total energy comes out at -6.10 eV per atom. The value obtained for the density of states at the Fermi level is 19.1 states/eV/cell.

Density functional theory data (PBE) for a relaxed LaGa2Rh2 crystal.

a b c (Å): 4.341 4.341 10.139
angles (deg): 90.00 90.00 90.00
Element x y z (fractional)
La  0.000  0.000  0.000
La  0.500  0.500  0.500
Ga  0.000  0.000  0.370
Ga  0.000  0.000  0.630
Ga  0.500  0.500  0.130
Ga  0.500  0.500  0.870
Rh  0.000  0.500  0.250
Rh  0.000  0.500  0.750
Rh  0.500  0.000  0.250
Rh  0.500  0.000  0.750

Values from the calculation:
The energy relative to the elements comes out at -402 kJ/mol of formula units. The electronic total energy comes out at -5.97 eV per atom. The value obtained for the density of states at the Fermi level is 5.3 states/eV/cell.

Density functional theory data (PBE) for a relaxed LaGaRh crystal.

a b c (Å): 3.761 11.364 5.970
angles (deg): 90.00 90.00 90.00
Element x y z (fractional)
La  0.000  0.177  0.250
La  0.000  0.823  0.750
La  0.500  0.323  0.750
La  0.500  0.677  0.250
Ga  0.000  0.095  0.750
Ga  0.000  0.905  0.250
Ga  0.500  0.405  0.250
Ga  0.500  0.595  0.750
Rh  0.000  0.500  0.000
Rh  0.000  0.500  0.500
Rh  0.500  0.000  0.000
Rh  0.500  0.000  0.500

Values from the calculation:
The energy relative to the elements comes out at -228 kJ/mol of formula units. The electronic total energy comes out at -5.89 eV per atom. The value obtained for the density of states at the Fermi level is 6.1 states/eV/cell.

Density functional theory data (PBE) for a relaxed La3Ga2Rh2 crystal.

a b c (Å): 5.787 8.260 13.868
angles (deg): 90.00 90.00 90.00
Element x y z (fractional)
La  0.135  0.241  0.250
La  0.135  0.259  0.750
La  0.347  0.599  0.096
La  0.347  0.599  0.404
La  0.347  0.901  0.596
La  0.347  0.901  0.904
La  0.653  0.099  0.096
La  0.653  0.099  0.404
La  0.653  0.401  0.596
La  0.653  0.401  0.904
La  0.865  0.741  0.250
La  0.865  0.759  0.750
Ga  0.134  0.250  0.000
Ga  0.134  0.250  0.500
Ga  0.361  0.609  0.750
Ga  0.361  0.891  0.250
Ga  0.639  0.109  0.750
Ga  0.639  0.391  0.250
Ga  0.866  0.750  0.000
Ga  0.866  0.750  0.500
Rh  0.137  0.532  0.591
Rh  0.137  0.532  0.909
Rh  0.137  0.968  0.091
Rh  0.137  0.968  0.409
Rh  0.863  0.032  0.591
Rh  0.863  0.032  0.909
Rh  0.863  0.468  0.091
Rh  0.863  0.468  0.409

Values from the calculation:
The energy relative to the elements comes out at -524 kJ/mol of formula units. The electronic total energy comes out at -5.85 eV per atom. The value obtained for the density of states at the Fermi level is 16.7 states/eV/cell.

Density functional theory data (PBE) for a relaxed La2GaRh crystal.

a b c (Å): 8.049 8.049 6.620
angles (deg): 90.00 90.00 90.00
Element x y z (fractional)
La  0.205  0.750  0.125
La  0.250  0.205  0.875
La  0.250  0.295  0.375
La  0.295  0.750  0.625
La  0.705  0.250  0.625
La  0.750  0.705  0.375
La  0.750  0.795  0.875
La  0.795  0.250  0.125
Ga  0.000  0.000  0.500
Ga  0.000  0.500  0.750
Ga  0.500  0.000  0.250
Ga  0.500  0.500  0.000
Rh  0.000  0.000  0.000
Rh  0.000  0.500  0.250
Rh  0.500  0.000  0.750
Rh  0.500  0.500  0.500

Values from the calculation:
The energy relative to the elements comes out at -143 kJ/mol of formula units. The electronic total energy comes out at -5.43 eV per atom. The value obtained for the density of states at the Fermi level is 10.7 states/eV/cell.